DFT (PBE) results for crystalline CdHgSeO at its relaxed geometry.

## Properties
Relative energy among the computed polymorphs   167.7 meV/atom
Total DFT energy (no corrections)   -22.1 eV for the cell shown
SG   No. 186

abc: 3.9434 3.9434 12.4477
angles: 90.00 90.00 120.00
Fractional positions:
Cd1 0.0000 0.0000 0.0000
Cd2 0.0000 0.0000 0.5000
Hg1 0.3333 0.6667 0.2708
Hg2 0.6667 0.3333 0.7708
Se1 0.3333 0.6667 0.6109
Se2 0.6667 0.3333 0.1109
O1 0.0000 0.0000 0.3270
O2 0.0000 0.0000 0.8270